No. 1
# CaLa8Tc2

A relaxed structure of CaLa8Tc2 (PBE-GGA, the Alexandria database).

Unit cell a=8.7281 b=8.7281 c=6.5886 alpha=93.21 beta=93.21 gamma=48.86
Last column: nearest neighbours and their distance in Å.
Sites, in units of the cell vectors:
Ca 0.0000 0.0000 0.0000  10 La 3.58-4.00
La 0.1109 0.6278 0.5981  2 Tc 2.92-2.93
La 0.2171 0.2171 0.8844  1 Tc 3.02
La 0.3722 0.8891 0.4019  2 Tc 2.92-2.93
La 0.4204 0.4204 0.1677  1 Tc 2.63
La 0.5796 0.5796 0.8323  1 Tc 2.63
La 0.6278 0.1109 0.5981  2 Tc 2.92-2.93
La 0.7829 0.7829 0.1156  1 Tc 3.02
La 0.8891 0.3722 0.4019  2 Tc 2.92-2.93
Tc 0.2732 0.2732 0.3301  5 La 2.63-2.93
Tc 0.7268 0.7268 0.6699  5 La 2.63-2.93

## Properties
space group	C2/m, No. 12
N(E_F)	1.305	states/eV per atom
energy of formation from the pure elements	0.036	eV/atom


No. 2
# Ca2LaTc

A relaxed structure of Ca2LaTc (PBE-GGA, the Alexandria database).

Unit cell a=9.1590 b=4.5779 c=6.2547 alpha=90.00 beta=116.33 gamma=90.00
Last column: nearest neighbours and their distance in Å.
Sites, in units of the cell vectors:
Ca 0.0000 0.0000 0.0000  3 La 3.28-3.31, 3 Tc 3.33-3.46, 4 Ca 3.41-3.63
Ca 0.1973 0.0000 0.6476  3 Tc 3.36-3.48, 4 Ca 3.41-3.63, 3 La 3.48-3.50
Ca 0.5000 0.5000 0.0000  3 La 3.28-3.31, 3 Tc 3.33-3.46, 4 Ca 3.41-3.63
Ca 0.6973 0.5000 0.6476  3 Tc 3.36-3.48, 4 Ca 3.41-3.63, 3 La 3.48-3.50
La 0.2781 0.5000 0.2913  2 Tc 2.60
La 0.7781 0.0000 0.2913  2 Tc 2.60
Tc 0.4199 0.0000 0.3196  2 La 2.60
Tc 0.9199 0.5000 0.3196  2 La 2.60

## Properties
space group	Cm, No. 8
N(E_F)	0.491	states/eV per atom
energy of formation from the pure elements	0.268	eV/atom


No. 3
# CaLaTc

A relaxed structure of CaLaTc (PBE-GGA, the Alexandria database).

Unit cell a=4.8146 b=4.8146 c=3.7155 alpha=90.00 beta=90.00 gamma=120.00
Last column: nearest neighbours and their distance in Å.
Sites, in units of the cell vectors:
Ca 0.0000 0.0000 0.0000  6 Tc 3.27-3.43, 6 La 3.33-3.36
La 0.6667 0.3333 0.4918  3 Tc 2.79
Tc 0.3333 0.6667 0.5389  3 La 2.79

## Properties
space group	P3m1, No. 156
N(E_F)	0.168	states/eV per atom
energy of formation from the pure elements	0.335	eV/atom


No. 4
# Ca2LaTc

A relaxed structure of Ca2LaTc (PBE-GGA, the Alexandria database).

Unit cell a=3.2958 b=5.0578 c=6.4673 alpha=90.00 beta=90.00 gamma=90.00
Last column: nearest neighbours and their distance in Å.
Sites, in units of the cell vectors:
Ca 0.0000 0.0000 0.2224  1 Ca 2.88
Ca 0.0000 0.0000 0.7776  1 Ca 2.88
La 0.5000 0.5000 0.5000  2 Tc 3.23, 2 La 3.30, 8 Ca 3.51
Tc 0.5000 0.5000 0.0000  2 La 3.23, 2 Tc 3.30, 8 Ca 3.34

## Properties
space group	Pmmm, No. 47
N(E_F)	1.327	states/eV per atom
energy of formation from the pure elements	0.577	eV/atom


No. 5
# CaLaTc

A relaxed structure of CaLaTc (PBE-GGA, the Alexandria database).

Unit cell a=4.4971 b=5.4672 c=13.9056 alpha=90.00 beta=90.00 gamma=90.00
Last column: nearest neighbours and their distance in Å.
Sites, in units of the cell vectors:
Ca 0.0000 0.0000 0.0000  2 Tc 2.94
Ca 0.0000 0.5000 0.5000  2 Tc 2.94
Ca 0.5000 0.0000 0.5000  2 Tc 2.94
Ca 0.5000 0.5000 0.0000  2 Tc 2.94
La 0.0000 0.0000 0.2503  2 Tc 2.75
La 0.0000 0.5000 0.7503  2 Tc 2.75
La 0.5000 0.0000 0.7503  2 Tc 2.75
La 0.5000 0.5000 0.2503  2 Tc 2.75
Tc 0.0000 0.0000 0.6366  2 La 2.75, 2 Ca 2.94
Tc 0.0000 0.5000 0.1366  2 La 2.75, 2 Ca 2.94
Tc 0.5000 0.0000 0.1366  2 La 2.75, 2 Ca 2.94
Tc 0.5000 0.5000 0.6366  2 La 2.75, 2 Ca 2.94

## Properties
space group	Fmm2, No. 42
N(E_F)	1.484	states/eV per atom
energy of formation from the pure elements	0.288	eV/atom


No. 6
# Ca2LaTc

A relaxed structure of Ca2LaTc (PBE-GGA, the Alexandria database).

Unit cell a=3.5450 b=3.5529 c=9.7799 alpha=90.00 beta=94.42 gamma=90.00
Last column: nearest neighbours and their distance in Å.
Sites, in units of the cell vectors:
Ca 0.0000 0.0000 0.0000  4 Ca 3.54-3.55
Ca 0.4350 0.5000 0.6783  4 Tc 3.08-3.16
La 0.5486 0.5000 0.3227  2 Tc 2.67
Tc 0.9141 0.0000 0.4880  2 La 2.67

## Properties
space group	Pm, No. 6
N(E_F)	1.040	states/eV per atom
energy of formation from the pure elements	0.223	eV/atom